The following is a GGA-PBE calculation of a relaxed Ho3Tl2In4 crystal, from the Alexandria database.

Its formation energy is -0.25 eV/atom. Its mass density is 9.5 g/cm3. The density of states at the Fermi level comes out at 0.709 states/eV/atom.

The space group is P-62m (No. 189) and the conventional cell measures 7.9147, 7.9147 and 4.3765 Å, with angles of 90.00, 90.00 and 120.00 degrees. The distinct sites, in fractional coordinates, are Ho at (0.0000, 0.3953, 0.0000), Tl at (0.3333, 0.6667, 0.5000), In at (0.0000, 0.0000, 0.0000) and In at (0.0000, 0.7401, 0.5000).


The following is a GGA-PBE calculation of a relaxed Pm3SmPb2C crystal, from the Alexandria database.

Its formation energy is -0.47 eV/atom. Its mass density is 8.2 g/cm3. The density of states at the Fermi level comes out at 0.143 states/eV/atom.

The space group is Immm (No. 71) and the conventional cell measures 4.9678, 4.9874 and 16.5813 Å, with angles of 90.00, 90.00 and 90.00 degrees. The distinct sites, in fractional coordinates, are Pm at (0.0000, 0.0000, 0.0000), Pm at (0.0000, 0.5000, 0.1597), Sm at (0.0000, 0.0000, 0.5000), Pb at (0.0000, 0.5000, 0.3593) and C at (0.0000, 0.5000, 0.0000).


The following is a GGA-PBE calculation of a relaxed TbPm12Al3 crystal, from the Alexandria database.

Its formation energy is -0.11 eV/atom. Its mass density is 6.8 g/cm3. The density of states at the Fermi level comes out at 1.408 states/eV/atom.

The space group is P4/mmm (No. 123) and the conventional cell measures 4.9038, 4.9038 and 20.0143 Å, with angles of 90.00, 90.00 and 90.00 degrees. The distinct sites, in fractional coordinates, are Tb at (0.0000, 0.0000, 0.0000), Pm at (0.0000, 0.5000, 0.1349), Pm at (0.0000, 0.5000, 0.3783), Pm at (0.5000, 0.5000, 0.0000), Pm at (0.5000, 0.5000, 0.2574), Pm at (0.5000, 0.5000, 0.5000), Al at (0.0000, 0.0000, 0.2576) and Al at (0.0000, 0.0000, 0.5000).


The following is a GGA-PBE calculation of a relaxed YTiBAu2 crystal, from the Alexandria database.

Its formation energy is 1.88 eV/atom. Its mass density is 5.8 g/cm3. The density of states at the Fermi level comes out at 1.035 states/eV/atom.

The space group is P4/mmm (No. 123) and the conventional cell measures 5.3191, 5.3191 and 5.4507 Å, with angles of 90.00, 90.00 and 90.00 degrees. The distinct sites, in fractional coordinates, are Y at (0.0000, 0.0000, 0.0000), Ti at (0.0000, 0.0000, 0.5000), B at (0.5000, 0.5000, 0.5000) and Au at (0.0000, 0.5000, 0.0000).


The following is a GGA-PBE calculation of a relaxed KPaO2 crystal, from the Alexandria database.

The offset from the most stable computed form comes out at 0.000 eV per atom. Its mass density is 7.6 g/cm3. The density of states at the Fermi level comes out at 0.396 states/eV/atom.

The space group is R-3m (No. 166, hexagonal axes) and the conventional cell measures 3.4155, 3.4155 and 19.6634 Å, with angles of 90.00, 90.00 and 120.00 degrees. The distinct sites, in fractional coordinates, are K at (0.0000, 0.0000, 0.0000), Pa at (0.0000, 0.0000, 0.5000) and O at (0.0000, 0.0000, 0.2355).


The following is a GGA-PBE calculation of a relaxed PrY2In9 crystal, from the Alexandria database.

Its formation energy is -0.44 eV/atom. Its mass density is 7.3 g/cm3. The density of states at the Fermi level comes out at 0.407 states/eV/atom.

The space group is P4/mmm (No. 123) and the conventional cell measures 4.6782, 4.6782 and 14.0237 Å, with angles of 90.00, 90.00 and 90.00 degrees. The distinct sites, in fractional coordinates, are Pr at (0.0000, 0.0000, 0.0000), Y at (0.0000, 0.0000, 0.3353), In at (0.0000, 0.5000, 0.1707), In at (0.0000, 0.5000, 0.5000), In at (0.5000, 0.5000, 0.0000) and In at (0.5000, 0.5000, 0.3343).


The following is a GGA-PBE calculation of a relaxed Ce12Ir6Au crystal, from the Alexandria database.

Its formation energy is -0.45 eV/atom. Its mass density is 9.4 g/cm3. The density of states at the Fermi level comes out at 3.114 states/eV/atom.

The space group is R-3 (No. 148, hexagonal axes) and the conventional cell measures 12.4451, 12.4451 and 12.0231 Å, with angles of 90.00, 90.00 and 120.00 degrees. The distinct sites, in fractional coordinates, are Ce at (0.0257, 0.2116, 0.3938), Ce at (0.0569, 0.2260, 0.8795), Ir at (0.0401, 0.2650, 0.6433) and Au at (0.0000, 0.0000, 0.0000).


The following is a GGA-PBE calculation of a relaxed SrLi3Cl crystal, from the Alexandria database.

The offset from the most stable computed form comes out at 0.000 eV per atom. Its mass density is 1.7 g/cm3. The density of states at the Fermi level comes out at 0.777 states/eV/atom.

The space group is Pm-3m (No. 221) and the conventional cell measures 5.1929, 5.1929 and 5.1929 Å, with angles of 90.00, 90.00 and 90.00 degrees. The distinct sites, in fractional coordinates, are Sr at (0.0000, 0.0000, 0.0000), Li at (0.0000, 0.5000, 0.5000) and Cl at (0.5000, 0.5000, 0.5000).


The following is a GGA-PBE calculation of a relaxed Li3HfTi2S6 crystal, from the Alexandria database.

The calculation puts the electronic total energy at -73.65 eV/f.u. Its mass density is 4.1 g/cm3. The density of states at the Fermi level comes out at 0.516 states/eV/atom.

The space group is C2/m (No. 12) and the conventional cell measures 6.1005, 10.5730 and 6.5061 Å, with angles of 90.00, 108.24 and 90.00 degrees. The distinct sites, in fractional coordinates, are Li at (0.0000, 0.0000, 0.0000), Li at (0.0000, 0.3353, 0.0000), Hf at (0.0000, 0.5000, 0.5000), Ti at (0.0000, 0.1673, 0.5000), S at (0.2411, 0.0000, 0.7404) and S at (0.2502, 0.1695, 0.2593).


The following is a GGA-PBE calculation of a relaxed KP2 crystal, from the Alexandria database.

Its formation energy is 0.12 eV/atom. Its mass density is 1.4 g/cm3. The density of states at the Fermi level comes out at 1.446 states/eV/atom.

The space group is Pa-3 (No. 205) and the conventional cell measures 7.7802, 7.7802 and 7.7802 Å, with angles of 90.00, 90.00 and 90.00 degrees. The distinct sites, in fractional coordinates, are K at (0.0000, 0.0000, 0.0000) and P at (0.0734, 0.5734, 0.9266).


The following is a GGA-PBE calculation of a relaxed YTcHg crystal, from the Alexandria database.

Its formation energy is 0.34 eV/atom. The offset from the most stable computed form comes out at 0.189 eV per atom. Its mass density is 9.6 g/cm3. The density of states at the Fermi level comes out at 1.192 states/eV/atom.

The space group is P3m1 (No. 156) and the conventional cell measures 3.3800, 3.3800 and 6.7588 Å, with angles of 90.00, 90.00 and 120.00 degrees. The distinct sites, in fractional coordinates, are Y at (0.0000, 0.0000, 0.0000), Tc at (0.3333, 0.6667, 0.6971) and Hg at (0.6667, 0.3333, 0.3824).


The following is a GGA-PBE calculation of a relaxed Sc8GaPd2 crystal, from the Alexandria database.

Its formation energy is -0.36 eV/atom. Its mass density is 4.6 g/cm3. The density of states at the Fermi level comes out at 1.228 states/eV/atom.

The space group is Immm (No. 71) and the conventional cell measures 4.5369, 7.3824 and 13.9377 Å, with angles of 90.00, 90.00 and 90.00 degrees. The distinct sites, in fractional coordinates, are Sc at (0.0000, 0.0000, 0.1382), Sc at (0.0000, 0.2181, 0.3352), Sc at (0.0000, 0.3070, 0.0000), Ga at (0.0000, 0.5000, 0.5000) and Pd at (0.0000, 0.5000, 0.1902).


The following is a GGA-PBE calculation of a relaxed Sb2Pb crystal, from the Alexandria database.

The offset from the most stable computed form comes out at 0.043 eV per atom. Its mass density is 7.4 g/cm3. The density of states at the Fermi level comes out at 0.581 states/eV/atom.

The space group is P4/mmm (No. 123) and the conventional cell measures 4.5051, 4.5051 and 4.9893 Å, with angles of 90.00, 90.00 and 90.00 degrees. The distinct sites, in fractional coordinates, are Sb at (0.0000, 0.5000, 0.0000) and Pb at (0.0000, 0.0000, 0.5000).


The following is a GGA-PBE calculation of a relaxed La3Tb4Sm crystal, from the Alexandria database.

Its formation energy is 0.03 eV/atom. The offset from the most stable computed form comes out at 0.000 eV per atom. Its mass density is 7.3 g/cm3. The density of states at the Fermi level comes out at 1.794 states/eV/atom.

The space group is Pmn2_1 (No. 31) and the conventional cell measures 11.7172, 7.3644 and 6.3755 Å, with angles of 90.00, 90.00 and 90.00 degrees. The distinct sites, in fractional coordinates, are La at (0.0000, 0.1273, 0.0000), La at (0.2494, 0.1254, 0.3307), Tb at (0.0000, 0.3788, 0.4990), Tb at (0.0000, 0.6226, 0.0008), Tb at (0.2490, 0.6213, 0.3319) and Sm at (0.0000, 0.8697, 0.4998).


The following is a GGA-PBE calculation of a relaxed MnVSn2 crystal, from the Alexandria database.

Its formation energy is 0.31 eV/atom. The offset from the most stable computed form comes out at 0.000 eV per atom. Its mass density is 8.2 g/cm3. The density of states at the Fermi level comes out at 1.041 states/eV/atom.

The space group is Fm-3m (No. 225) and the conventional cell measures 6.5323, 6.5323 and 6.5323 Å, with angles of 90.00, 90.00 and 90.00 degrees. The distinct sites, in fractional coordinates, are Mn at (0.0000, 0.0000, 0.0000), V at (0.0000, 0.0000, 0.5000) and Sn at (0.2500, 0.2500, 0.2500).


The following is a GGA-PBE calculation of a relaxed Ca2Cd6CuAg crystal, from the Alexandria database.

Its formation energy is -0.12 eV/atom. Its mass density is 6.1 g/cm3. The density of states at the Fermi level comes out at 0.475 states/eV/atom.

The space group is R-3m (No. 166, hexagonal axes) and the conventional cell measures 6.9673, 6.9673 and 35.8657 Å, with angles of 90.00, 90.00 and 120.00 degrees. The distinct sites, in fractional coordinates, are Ca at (0.0000, 0.0000, 0.1085), Ca at (0.0000, 0.0000, 0.2809), Cd at (0.0388, 0.5194, 0.2999), Cd at (0.0583, 0.5291, 0.8644), Cu at (0.0000, 0.0000, 0.0000), Cu at (0.0000, 0.0000, 0.5000) and Ag at (0.0000, 0.0000, 0.4264).


The following is a GGA-PBE calculation of a relaxed KNaCdHg2 crystal, from the Alexandria database.

Its formation energy is -0.06 eV/atom. The offset from the most stable computed form comes out at 0.136 eV per atom. Its mass density is 5.0 g/cm3. The density of states at the Fermi level comes out at 0.450 states/eV/atom.

The space group is P4/mmm (No. 123) and the conventional cell measures 5.7577, 5.7577 and 5.7247 Å, with angles of 90.00, 90.00 and 90.00 degrees. The distinct sites, in fractional coordinates, are K at (0.0000, 0.0000, 0.0000), Na at (0.5000, 0.5000, 0.0000), Cd at (0.5000, 0.5000, 0.5000) and Hg at (0.0000, 0.5000, 0.5000).


The following is a GGA-PBE calculation of a relaxed HfNbFeCuW crystal, from the Alexandria database.

Its formation energy is 0.15 eV/atom. The offset from the most stable computed form comes out at 0.070 eV per atom. Its mass density is 12.0 g/cm3. The density of states at the Fermi level comes out at 0.932 states/eV/atom.

The space group is Cm (No. 8) and the conventional cell measures 9.9345, 3.1427 and 7.0519 Å, with angles of 90.00, 133.60 and 90.00 degrees. The distinct sites, in fractional coordinates, are Hf at (0.0000, 0.0000, 0.0000), Nb at (0.1732, 0.0000, 0.5487), Fe at (0.3071, 0.5000, 0.4093), Cu at (0.3558, 0.0000, 0.1674) and W at (0.0777, 0.5000, 0.7526).


The following is a GGA-PBE calculation of a relaxed RbNbTe3 crystal, from the Alexandria database.

The offset from the most stable computed form comes out at 0.174 eV per atom. Its mass density is 5.4 g/cm3. The density of states at the Fermi level comes out at 0.742 states/eV/atom.

The space group is Pm-3m (No. 221) and the conventional cell measures 5.5555, 5.5555 and 5.5555 Å, with angles of 90.00, 90.00 and 90.00 degrees. The distinct sites, in fractional coordinates, are Rb at (0.0000, 0.0000, 0.0000), Nb at (0.5000, 0.5000, 0.5000) and Te at (0.0000, 0.5000, 0.5000).


The following is a GGA-PBE calculation of a relaxed KIn3P crystal, from the Alexandria database.

Its formation energy is 0.20 eV/atom. The offset from the most stable computed form comes out at 0.000 eV per atom. Its mass density is 4.4 g/cm3. The density of states at the Fermi level comes out at 0.593 states/eV/atom.

The space group is Pm-3m (No. 221) and the conventional cell measures 5.4064, 5.4064 and 5.4064 Å, with angles of 90.00, 90.00 and 90.00 degrees. The distinct sites, in fractional coordinates, are K at (0.0000, 0.0000, 0.0000), In at (0.0000, 0.5000, 0.5000) and P at (0.5000, 0.5000, 0.5000).


The following is a GGA-PBE calculation of a relaxed Cs3S2O8 crystal, from the Alexandria database.

The calculation puts the electronic total energy at -72.39 eV/f.u. Its mass density is 3.7 g/cm3. The density of states at the Fermi level comes out at 1.168 states/eV/atom.

The space group is R-3m (No. 166, hexagonal axes) and the conventional cell measures 6.2793, 6.2793 and 23.5820 Å, with angles of 90.00, 90.00 and 120.00 degrees. The distinct sites, in fractional coordinates, are Cs at (0.0000, 0.0000, 0.0000), Cs at (0.0000, 0.0000, 0.2092), S at (0.0000, 0.0000, 0.4096), O at (0.0000, 0.0000, 0.3461) and O at (0.0733, 0.5366, 0.2368).


The following is a GGA-PBE calculation of a relaxed Y3Er8Pu crystal, from the Alexandria database.

Its formation energy is 0.61 eV/atom. Its mass density is 7.4 g/cm3. The density of states at the Fermi level comes out at 1.326 states/eV/atom.

The space group is I-42m (No. 121) and the conventional cell measures 8.5924, 8.5924 and 11.2789 Å, with angles of 90.00, 90.00 and 90.00 degrees. The distinct sites, in fractional coordinates, are Y at (0.0000, 0.0000, 0.0000), Y at (0.0000, 0.5000, 0.2500), Er at (0.1266, 0.1266, 0.7311), Er at (0.2299, 0.2299, 0.4652) and Pu at (0.0000, 0.0000, 0.5000).


The following is a GGA-PBE calculation of a relaxed Pm2NdHo2Er2 crystal, from the Alexandria database.

Its formation energy is 0.15 eV/atom. Its mass density is 7.8 g/cm3. The density of states at the Fermi level comes out at 1.799 states/eV/atom.

The space group is C2/m (No. 12) and the conventional cell measures 11.5115, 3.4955 and 11.8410 Å, with angles of 90.00, 101.99 and 90.00 degrees. The distinct sites, in fractional coordinates, are Pm at (0.0934, 0.0000, 0.2755), Nd at (0.0000, 0.5000, 0.0000), Ho at (0.1541, 0.0000, 0.5714) and Er at (0.2034, 0.0000, 0.8700).